(P)
DFT (GGA-PBE) results for a relaxed structure of SmTmHg2.

The structure belongs to space group Fm-3m (No. 225); the cell edges are 7.4774, 7.4774 and 7.4774 Å and the angles 90.00°, 90.00° and 90.00°. Symmetry generates all atoms from Sm at (0.0000, 0.0000, 0.0000), Tm at (0.0000, 0.0000, 0.5000) and Hg at (0.2500, 0.2500, 0.2500).

The calculation puts the volume at 26.129 A^3/atom. The density of states at the Fermi level comes out at 17.45 states/eV/cell.

=====

(Q)
DFT (GGA-PBE) results for a relaxed structure of SmTmHg2.

The structure belongs to space group P4/mmm (No. 123); the cell edges are 3.6941, 3.6941 and 7.6345 Å and the angles 90.00°, 90.00° and 90.00°. Symmetry generates all atoms from Sm at (0.0000, 0.0000, 0.0000), Tm at (0.0000, 0.0000, 0.5000) and Hg at (0.5000, 0.5000, 0.2675).

The calculation puts the volume at 26.046 A^3/atom. The density of states at the Fermi level comes out at 3.34 states/eV/cell.

=====

Least stable: (P)

=====

(P)
DFT (GGA-PBE) results for a relaxed structure of SmTm3Hg2.

The structure belongs to space group P4/mmm (No. 123); the cell edges are 3.6601, 3.6601 and 12.2442 Å and the angles 90.00°, 90.00° and 90.00°. Symmetry generates all atoms from Sm at (0.0000, 0.0000, 0.0000), Tm at (0.5000, 0.5000, 0.2004), Tm at (0.5000, 0.5000, 0.5000) and Hg at (0.0000, 0.0000, 0.3486).

The calculation puts the volume at 27.339 A^3/atom. The density of states at the Fermi level comes out at 5.77 states/eV/cell.

=====

(Q)
DFT (GGA-PBE) results for a relaxed structure of SmTm3Hg2.

The structure belongs to space group Pmc2_1 (No. 26); the cell edges are 5.0536, 9.1786 and 7.0954 Å and the angles 90.00°, 90.00° and 90.00°. Symmetry generates all atoms from Sm at (0.0000, 0.0565, 0.0000), Tm at (0.0000, 0.3280, 0.6510), Tm at (0.5000, 0.1799, 0.3174), Tm at (0.5000, 0.4431, 0.9673), Hg at (0.0000, 0.3541, 0.2259) and Hg at (0.5000, 0.1496, 0.7419).

The calculation puts the volume at 27.427 A^3/atom. The density of states at the Fermi level comes out at 5.34 states/eV/cell.

=====

Least stable: (P)

=====

(P)
DFT (GGA-PBE) results for a relaxed structure of SmTmZnHg.

The structure belongs to space group F-43m (No. 216); the cell edges are 7.3427, 7.3427 and 7.3427 Å and the angles 90.00°, 90.00° and 90.00°. Symmetry generates all atoms from Sm at (0.0000, 0.0000, 0.0000), Tm at (0.0000, 0.0000, 0.5000), Zn at (0.2500, 0.2500, 0.2500) and Hg at (0.2500, 0.2500, 0.7500).

The calculation puts the volume at 24.743 A^3/atom. The density of states at the Fermi level comes out at 16.98 states/eV/cell.

=====

(Q)
DFT (GGA-PBE) results for a relaxed structure of SmTmZnHg.

The structure belongs to space group P4mm (No. 99); the cell edges are 3.6071, 3.6071 and 7.5102 Å and the angles 90.00°, 90.00° and 90.00°. Symmetry generates all atoms from Sm at (0.0000, 0.0000, 0.0000), Tm at (0.0000, 0.0000, 0.4669), Zn at (0.5000, 0.5000, 0.2492) and Hg at (0.5000, 0.5000, 0.7155).

The calculation puts the volume at 24.429 A^3/atom. The density of states at the Fermi level comes out at 3.61 states/eV/cell.

=====

Least stable: (P)

=====

(P)
DFT (GGA-PBE) results for a relaxed structure of SmYHg4.

The structure belongs to space group F-43m (No. 216); the cell edges are 8.4514, 8.4514 and 8.4514 Å and the angles 90.00°, 90.00° and 90.00°. Symmetry generates all atoms from Sm at (0.0000, 0.0000, 0.0000), Y at (0.2500, 0.2500, 0.2500) and Hg at (0.1250, 0.1250, 0.6250).

The calculation puts the volume at 25.152 A^3/atom. The density of states at the Fermi level comes out at 19.56 states/eV/cell.

=====

(Q)
DFT (GGA-PBE) results for a relaxed structure of SmYHg4.

The structure belongs to space group Pmmm (No. 47); the cell edges are 4.5357, 4.5507 and 8.6024 Å and the angles 90.00°, 90.00° and 90.00°. Symmetry generates all atoms from Sm at (0.0000, 0.0000, 0.0000), Y at (0.5000, 0.5000, 0.5000), Hg at (0.0000, 0.5000, 0.2545) and Hg at (0.5000, 0.0000, 0.2554).

The calculation puts the volume at 29.593 A^3/atom. The density of states at the Fermi level comes out at 3.85 states/eV/cell.

=====

(R)
DFT (GGA-PBE) results for a relaxed structure of SmYHg4.

The structure belongs to space group C2/m (No. 12); the cell edges are 11.7702, 3.6828 and 7.4060 Å and the angles 90.00°, 108.33° and 90.00°. Symmetry generates all atoms from Sm at (0.0000, 0.0000, 0.0000), Y at (0.0000, 0.0000, 0.5000), Hg at (0.1685, 0.5000, 0.3391) and Hg at (0.1703, 0.5000, 0.8310).

The calculation puts the volume at 25.396 A^3/atom. The density of states at the Fermi level comes out at 8.53 states/eV/cell.

=====

Least stable: (Q)

=====

(P)
DFT (GGA-PBE) results for a relaxed structure of SmY3Hg2.

The structure belongs to space group Pmc2_1 (No. 26); the cell edges are 5.1309, 9.3159 and 7.1471 Å and the angles 90.00°, 90.00° and 90.00°. Symmetry generates all atoms from Sm at (0.0000, 0.0577, 0.0000), Y at (0.0000, 0.3271, 0.6526), Y at (0.5000, 0.1763, 0.3169), Y at (0.5000, 0.4431, 0.9685), Hg at (0.0000, 0.3528, 0.2240) and Hg at (0.5000, 0.1495, 0.7452).

The calculation puts the volume at 28.468 A^3/atom. The density of states at the Fermi level comes out at 5.47 states/eV/cell.

=====

(Q)
DFT (GGA-PBE) results for a relaxed structure of SmY3Hg2.

The structure belongs to space group P4/mmm (No. 123); the cell edges are 3.7034, 3.7034 and 12.4370 Å and the angles 90.00°, 90.00° and 90.00°. Symmetry generates all atoms from Sm at (0.0000, 0.0000, 0.0000), Y at (0.5000, 0.5000, 0.1997), Y at (0.5000, 0.5000, 0.5000) and Hg at (0.0000, 0.0000, 0.3484).

The calculation puts the volume at 28.429 A^3/atom. The density of states at the Fermi level comes out at 6.89 states/eV/cell.

=====

Least stable: (Q)

=====

(P)
DFT (GGA-PBE) results for a relaxed structure of Sm3YHg.

The structure belongs to space group C2/m (No. 12); the cell edges are 29.9861, 3.7293 and 5.5699 Å and the angles 90.00°, 90.09° and 90.00°. Symmetry generates all atoms from Sm at (0.0482, 0.0000, 0.2472), Sm at (0.1286, 0.0000, 0.7481), Sm at (0.1607, 0.5000, 0.2487), Y at (0.2330, 0.5000, 0.7497) and Hg at (0.0408, 0.5000, 0.7461).

The calculation puts the volume at 31.143 A^3/atom. The density of states at the Fermi level comes out at 25.75 states/eV/cell.

=====

(Q)
DFT (GGA-PBE) results for a relaxed structure of Sm3YHg.

The structure belongs to space group C2/m (No. 12); the cell edges are 11.3887, 7.5561 and 8.0070 Å and the angles 90.00°, 110.83° and 90.00°. Symmetry generates all atoms from Sm at (0.0589, 0.0000, 0.2371), Sm at (0.1612, 0.2506, 0.6445), Y at (0.0608, 0.5000, 0.2421) and Hg at (0.2424, 0.5000, 0.0004).

The calculation puts the volume at 32.200 A^3/atom. The density of states at the Fermi level comes out at 19.58 states/eV/cell.

=====

Least stable: (Q)